(1)
This record from Alexandria via LeMat-Bulk describes crystalline PmYTm4 at its relaxed geometry. The functional is GGA-PBE.

Cell lengths 6.5442, 6.5442, 6.5442 Å; angles 60.00, 60.00, 60.00 degrees
Element x y z (fractional)
Y1 0.0000 0.0000 0.0000
Tm1 0.6255 0.6255 0.1236
Tm2 0.6255 0.1236 0.6255
Tm3 0.6255 0.6255 0.6255
Tm4 0.1236 0.6255 0.6255
Pm1 0.2500 0.2500 0.2500

Calculated values
The value obtained for the formation energy is 153 kJ/mol of formula units. As for the energy above the lowest structure with this stoichiometry: 239 meV/atom. The calculation puts the density at 7.62 Mg/m³. Its symmetry is F-43m (216). Its total energy is -4.59 eV/atom. The density of states at the Fermi level comes out at 12.21 states/eV/cell.

---

(2)
This record from Alexandria via LeMat-Bulk describes crystalline Pm4Y11Tm9 at its relaxed geometry. The functional is GGA-PBE.

Cell lengths 3.5269, 14.7276, 14.7276 Å; angles 91.71, 90.00, 90.00 degrees
Element x y z (fractional)
Pm1 0.5000 0.5504 0.7201
Pm2 0.5000 0.4496 0.2799
Pm3 0.5000 0.7201 0.5504
Pm4 0.5000 0.2799 0.4496
Y1 0.0000 0.5858 0.9223
Y2 0.0000 0.4142 0.0777
Y3 0.0000 0.9223 0.5858
Y4 0.0000 0.0777 0.4142
Y5 0.0000 0.6580 0.3420
Y6 0.0000 0.3420 0.6580
Y7 0.0000 0.8301 0.1699
Y8 0.0000 0.1699 0.8301
Y9 0.0000 0.0000 0.0000
Y10 0.0000 0.7605 0.7605
Y11 0.0000 0.2395 0.2395
Tm1 0.5000 0.6232 0.1294
Tm2 0.5000 0.3768 0.8706
Tm3 0.5000 0.1294 0.6232
Tm4 0.5000 0.8706 0.3768
Tm5 0.5000 0.7942 0.9650
Tm6 0.5000 0.2058 0.0350
Tm7 0.5000 0.9650 0.7942
Tm8 0.5000 0.0350 0.2058
Tm9 0.5000 0.5000 0.5000

Calculated values
The value obtained for the formation energy is 139 kJ/mol of formula units. The calculation puts the density at 6.69 Mg/m³. Its symmetry is Cmmm (65). Its total energy is -5.37 eV/atom. The density of states at the Fermi level comes out at 36.01 states/eV/cell.

---

(3)
This record from Alexandria via LeMat-Bulk describes crystalline Pm12Y5Tm2 at its relaxed geometry. The functional is GGA-PBE.

Cell lengths 11.7377, 10.6817, 6.2328 Å; angles 100.24, 90.00, 123.33 degrees
Element x y z (fractional)
Pm1 0.1180 0.2360 0.0049
Pm2 0.0599 0.6084 0.8030
Pm3 0.5485 0.6084 0.8030
Pm4 0.1451 0.7926 0.3819
Pm5 0.6475 0.7926 0.3819
Pm6 0.4455 0.8911 0.7259
Pm7 0.5545 0.1089 0.2741
Pm8 0.8549 0.2074 0.6181
Pm9 0.3525 0.2074 0.6181
Pm10 0.9401 0.3916 0.1970
Pm11 0.4515 0.3916 0.1970
Pm12 0.8820 0.7640 0.9951
Y1 0.2171 0.4342 0.5574
Y2 0.3235 0.6470 0.1385
Y3 0.0000 0.0000 0.5000
Y4 0.6765 0.3530 0.8615
Y5 0.7829 0.5658 0.4426
Tm1 0.7665 0.0000 0.0000
Tm2 0.2335 0.0000 0.0000

Calculated values
The value obtained for the formation energy is 178 kJ/mol of formula units. As for the energy above the lowest structure with this stoichiometry: 0 meV/atom. The calculation puts the density at 6.57 Mg/m³. Its symmetry is C2/m (12). Its total energy is -5.08 eV/atom. The density of states at the Fermi level comes out at 27.71 states/eV/cell.

---

(4)
This record from Alexandria via LeMat-Bulk describes crystalline Pm2Y3Tm3 at its relaxed geometry. The functional is GGA-PBE.

Cell lengths 5.5507, 6.5422, 15.9559 Å; angles 90.00, 90.00, 115.10 degrees
Element x y z (fractional)
Pm1 0.7804 0.5608 0.8707
Pm2 0.2196 0.4392 0.3707
Pm3 0.7804 0.5608 0.6293
Pm4 0.2196 0.4392 0.1293
Y1 0.6161 0.2321 0.4492
Y2 0.3839 0.7679 0.9492
Y3 0.6161 0.2321 0.0508
Y4 0.3839 0.7679 0.5508
Y5 0.4597 0.9193 0.2500
Y6 0.5403 0.0807 0.7500
Tm1 0.9184 0.8368 0.4120
Tm2 0.0816 0.1632 0.9120
Tm3 0.9184 0.8368 0.0880
Tm4 0.0816 0.1632 0.5880
Tm5 0.7407 0.4815 0.2500
Tm6 0.2593 0.5185 0.7500

Calculated values
The value obtained for the formation energy is 110 kJ/mol of formula units. As for the energy above the lowest structure with this stoichiometry: 117 meV/atom. The calculation puts the density at 6.73 Mg/m³. Its symmetry is Cmcm (63). Its total energy is -5.15 eV/atom. The density of states at the Fermi level comes out at 30.87 states/eV/cell.

---

(5)
This record from Alexandria via LeMat-Bulk describes crystalline Pm6Y3Tm at its relaxed geometry. The functional is GGA-PBE.

Cell lengths 6.2483, 11.1890, 11.1890 Å; angles 120.31, 90.00, 90.00 degrees
Element x y z (fractional)
Pm1 0.0382 0.7112 0.6228
Pm2 0.5382 0.6228 0.7112
Pm3 0.3599 0.5241 0.9460
Pm4 0.8599 0.9460 0.5241
Pm5 0.4220 0.9577 0.0423
Pm6 0.6428 0.2788 0.7212
Pm7 0.1428 0.7212 0.2788
Pm8 0.9220 0.0423 0.9577
Pm9 0.3599 0.0540 0.4759
Pm10 0.8599 0.4759 0.0540
Pm11 0.0382 0.3772 0.2888
Pm12 0.5382 0.2888 0.3772
Y1 0.4661 0.9446 0.7217
Y2 0.9661 0.7217 0.9446
Y3 0.0716 0.3868 0.6132
Y4 0.5716 0.6132 0.3868
Y5 0.9661 0.0554 0.2783
Y6 0.4661 0.2783 0.0554
Tm1 0.1204 0.2014 0.7986
Tm2 0.6204 0.7986 0.2014

Calculated values
The value obtained for the formation energy is 131 kJ/mol of formula units. As for the energy above the lowest structure with this stoichiometry: 0 meV/atom. The calculation puts the density at 6.42 Mg/m³. Its symmetry is Cmc2_1 (36). Its total energy is -5.10 eV/atom. The density of states at the Fermi level comes out at 27.02 states/eV/cell.

---

(6)
This record from Alexandria via LeMat-Bulk describes crystalline PmY8Tm6 at its relaxed geometry. The functional is GGA-PBE.

Cell lengths 6.5380, 9.3689, 9.3689 Å; angles 120.00, 90.00, 90.00 degrees
Element x y z (fractional)
Pm1 0.5000 0.0000 0.0000
Y1 0.9006 0.9715 0.3115
Y2 0.9006 0.6885 0.6600
Y3 0.9006 0.3400 0.0285
Y4 0.0993 0.0285 0.6885
Y5 0.0993 0.3115 0.3400
Y6 0.0993 0.6600 0.9715
Y7 0.8181 0.3333 0.6667
Y8 0.1819 0.6667 0.3333
Tm1 0.5925 0.6782 0.0900
Tm2 0.5925 0.9100 0.5882
Tm3 0.5925 0.4118 0.3218
Tm4 0.4075 0.3218 0.9100
Tm5 0.4075 0.0900 0.4118
Tm6 0.4075 0.5882 0.6782

Calculated values
The value obtained for the formation energy is 352 kJ/mol of formula units. As for the energy above the lowest structure with this stoichiometry: 104 meV/atom. The calculation puts the density at 6.25 Mg/m³. Its symmetry is P-3 (147). Its total energy is -5.31 eV/atom. The density of states at the Fermi level comes out at 22.76 states/eV/cell.